(1)
Below is a relaxed KHfTc2 crystal, with properties calculated at the GGA-PBE level.

Results
* space-group type: No. 122
* energy of formation from the pure elements: 1357.3 meV/atom
* calculated total energy: -6.5884 eV per atom

a = 9.8876 Å, b = 9.8876 Å, c = 9.8876 Å
α = 151.86°, β = 151.86°, γ = 40.22°
With the nearest neighbours (Å) after each atom.
Fractional coordinates of all 8 atoms:
K 0.0000 0.0000 0.0000  8 Tc 3.37-3.74, 4 Hf 3.40
K 0.7500 0.2500 0.5000  8 Tc 3.37-3.74, 4 Hf 3.40
Hf 0.2500 0.7500 0.5000  4 Tc 2.63
Hf 0.5000 0.5000 0.0000  4 Tc 2.63
Tc 0.3185 0.6250 0.1935  2 Tc 2.46, 2 Hf 2.63
Tc 0.3750 0.5685 0.6935  2 Tc 2.46, 2 Hf 2.63
Tc 0.4315 0.1250 0.8065  2 Tc 2.46, 2 Hf 2.63
Tc 0.8750 0.6815 0.3065  2 Tc 2.46, 2 Hf 2.63

=====

(2)
Below is a relaxed KHf2Tc crystal, with properties calculated at the GGA-PBE level.

Results
* space-group type: No. 141
* energy of formation from the pure elements: 1210.0 meV/atom
* calculated total energy: -6.6326 eV per atom

a = 8.4620 Å, b = 8.4620 Å, c = 8.4620 Å
α = 133.05°, β = 133.05°, γ = 68.58°
With the nearest neighbours (Å) after each atom.
Fractional coordinates of all 8 atoms:
K 0.3750 0.6250 0.7500  8 Hf 4.15
K 0.6250 0.3750 0.2500  8 Hf 4.15
Hf 0.0000 0.0000 0.0000  2 Tc 2.43
Hf 0.0000 0.0000 0.5000  2 Tc 2.43
Hf 0.0000 0.5000 0.0000  2 Tc 2.43
Hf 0.5000 0.0000 0.5000  2 Tc 2.43
Tc 0.1250 0.8750 0.2500  4 Hf 2.43
Tc 0.8750 0.1250 0.7500  4 Hf 2.43

=====

(3)
Below is a relaxed KHfTc2 crystal, with properties calculated at the GGA-PBE level.

Results
* space-group type: No. 225
* energy of formation from the pure elements: 1232.1 meV/atom
* calculated total energy: -6.7136 eV per atom

a = 4.7590 Å, b = 4.7590 Å, c = 4.7590 Å
α = 60.00°, β = 60.00°, γ = 60.00°
With the nearest neighbours (Å) after each atom.
Fractional coordinates of all 4 atoms:
K 0.0000 0.0000 0.0000  8 Tc 2.91
Hf 0.5000 0.5000 0.5000  8 Tc 2.91
Tc 0.2500 0.2500 0.2500  4 Hf 2.91, 4 K 2.91
Tc 0.7500 0.7500 0.7500  4 K 2.91, 4 Hf 2.91

=====

(4)
Below is a relaxed KHf2Tc crystal, with properties calculated at the GGA-PBE level.

Results
* space-group type: No. 225
* energy of formation from the pure elements: 807.5 meV/atom
* calculated total energy: -7.0351 eV per atom

a = 4.9029 Å, b = 4.9029 Å, c = 4.9029 Å
α = 60.00°, β = 60.00°, γ = 60.00°
With the nearest neighbours (Å) after each atom.
Fractional coordinates of all 4 atoms:
K 0.0000 0.0000 0.0000  8 Hf 3.00
Hf 0.2500 0.2500 0.2500  4 Tc 3.00, 4 K 3.00
Hf 0.7500 0.7500 0.7500  4 K 3.00, 4 Tc 3.00
Tc 0.5000 0.5000 0.5000  8 Hf 3.00

=====

What is the energy of formation from the pure elements in the second record? 1210.0 meV/atom